HfScAu after structural relaxation, computed with PBE.

Values from the calculation:
* calculated volume: 20.8 A^3/atom
* total magnetic moment: 0.00 μB per cell
* E_form: -9.1 kcal/mol of atoms
* ΔE to the lowest computed polymorph: 0.085 eV per atom
* space group: Cm, No. 8

Cell: 7.802 3.286 4.969 Å, 90.00 89.36 102.15°
Atoms (fractional coordinates):
1 Au 0.749 0.489 0.540
2 Au 0.452 0.340 0.959
3 Hf 0.145 0.687 0.025
4 Hf 0.421 0.824 0.486
5 Sc 0.775 0.002 0.037
6 Sc 0.057 0.142 0.530